Density functional theory data (PBE) for Co7Bi after structural relaxation.

Lattice parameters (Å, degrees): 2.768 3.267 33.968 90.00 90.00 90.00
Positions (direct):
1 Co 0.250 0.250 0.018
2 Co 0.250 0.250 0.091
3 Co 0.250 0.250 0.164
4 Co 0.250 0.250 0.237
5 Co 0.250 0.250 0.800
6 Co 0.250 0.250 0.872
7 Co 0.250 0.250 0.945
8 Co 0.750 0.750 0.055
9 Co 0.750 0.750 0.128
10 Co 0.750 0.750 0.200
11 Co 0.750 0.750 0.763
12 Co 0.750 0.750 0.836
13 Co 0.750 0.750 0.909
14 Co 0.750 0.750 0.982
15 Bi 0.250 0.250 0.709
16 Bi 0.750 0.750 0.291

## Properties
Symmetry: No. 59
Total DFT energy (no corrections) (eV/atom): -6.531


Density functional theory data (PBE) for BaZnSe2O6 after structural relaxation.

Lattice parameters (Å, degrees): 6.529 15.233 6.436 90.00 111.21 90.00
Positions (direct):
1 Ba 0.208 0.140 0.166
2 Ba 0.208 0.360 0.666
3 Ba 0.792 0.640 0.334
4 Ba 0.792 0.860 0.834
5 Zn 0.102 0.588 0.955
6 Zn 0.102 0.912 0.455
7 Zn 0.898 0.088 0.545
8 Zn 0.898 0.412 0.045
9 Se 0.244 0.718 0.292
10 Se 0.244 0.782 0.792
11 Se 0.420 0.593 0.608
12 Se 0.420 0.907 0.108
13 Se 0.580 0.093 0.892
14 Se 0.580 0.407 0.392
15 Se 0.756 0.218 0.208
16 Se 0.756 0.282 0.708
17 O 0.017 0.206 0.438
18 O 0.017 0.294 0.938
19 O 0.187 0.022 0.668
20 O 0.187 0.478 0.168
21 O 0.188 0.574 0.689
22 O 0.188 0.926 0.189
23 O 0.375 0.648 0.160
24 O 0.375 0.852 0.660
25 O 0.381 0.047 0.612
26 O 0.381 0.453 0.112
27 O 0.415 0.186 0.857
28 O 0.415 0.314 0.357
29 O 0.585 0.686 0.643
30 O 0.585 0.814 0.143
31 O 0.619 0.547 0.888
32 O 0.619 0.953 0.388
33 O 0.625 0.148 0.340
34 O 0.625 0.352 0.840
35 O 0.812 0.074 0.811
36 O 0.812 0.426 0.311
37 O 0.813 0.522 0.832
38 O 0.813 0.978 0.332
39 O 0.983 0.706 0.062
40 O 0.983 0.794 0.562

## Properties
Symmetry: No. 14
Total DFT energy (no corrections) (eV/atom): -5.006


Density functional theory data (PBE) for HfZnAu2 after structural relaxation.

Lattice parameters (Å, degrees): 4.670 4.670 7.735 90.00 90.00 120.00
Positions (direct):
1 Hf 0.000 0.000 0.250
2 Hf 0.000 0.000 0.750
3 Zn 0.333 0.667 0.250
4 Zn 0.667 0.333 0.750
5 Au 0.333 0.667 0.575
6 Au 0.333 0.667 0.925
7 Au 0.667 0.333 0.075
8 Au 0.667 0.333 0.425

## Properties
Symmetry: No. 194
Total DFT energy (no corrections) (eV/atom): -4.549


Number 1: density 6.72 g/cm3. Number 2: density 5.08 g/cm3. Number 3: density 14.50 g/cm3.